Computed, not measured: a relaxed Pm3YTl crystal at the PBE level of DFT.

Lattice parameters (Å, degrees): 12.3097 5.5949 9.9086 90.00 109.44 90.00
Last column: nearest neighbours and their distance in Å.
Space group C2/m (No. 12)
One atom of each set of equivalent atoms:
Pm  0.1372  0.0000  0.1018  1 Tl 3.20, 3 Pm 3.31-3.33
Pm  0.1543  0.5000  0.5316  3 Tl 3.23-3.38
Pm  0.2144  0.0000  0.7807  1 Tl 3.17, 2 Pm 3.33
Y  0.0466  0.5000  0.8511  1 Y 3.50, 2 Tl 3.55, 11 Pm 3.66-3.91
Tl  0.0558  0.0000  0.3770  5 Pm 3.17-3.38, 1 Tl 3.17

Computed properties:
Its formation energy is -0.108 eV per atom. The total energy is -23.621 eV/f.u. The value obtained for the energy above the most stable polymorph in this dataset is 27 meV/atom.